(1)
A plane-wave DFT calculation with PBE-GGA was carried out for crystalline Pm3HoTm6 at its relaxed geometry.

It has space group R3 (No. 146, hexagonal axes), with a = 9.8050 Å, b = 9.8050 Å, c = 11.5380 Å, α = 90.00°, β = 90.00° and γ = 120.00°. The asymmetric unit holds Pm at (0.0000, 0.0000, 0.0000), Pm at (0.0000, 0.0000, 0.2494), Pm at (0.0000, 0.0000, 0.7499), Ho at (0.0000, 0.0000, 0.4998), Tm at (0.0024, 0.3386, 0.9158) and Tm at (0.0055, 0.6699, 0.4154).

The value obtained for the energy of formation from the pure elements is 2.99 eV/f.u. Its energy above the most stable polymorph in this dataset is 147 meV/atom. The magnetic moment comes out at 0.0 μB per cell. For the density of states at the Fermi level, the calculation gives 19.7 states/eV/f.u. Its density is 8.37 Mg/m³.

=====

(2)
A plane-wave DFT calculation with PBE-GGA was carried out for crystalline Tl2CoSe at its relaxed geometry.

It has space group P2/m (No. 10), with a = 4.2592 Å, b = 3.8015 Å, c = 6.0957 Å, α = 90.00°, β = 109.55° and γ = 90.00°. The asymmetric unit holds Tl at (0.0524, 0.0000, 0.2637), Co at (0.5000, 0.5000, 0.5000) and Se at (0.5000, 0.5000, 0.0000).

The calculation puts the uncorrected formation energy at 0.408 eV per atom. Its energy above the most stable polymorph in this dataset is 402 meV/atom. The magnetic moment comes out at 1.5 μB per cell. For the density of states at the Fermi level, the calculation gives 3.1 states/eV/f.u. Its density is 9.76 Mg/m³.

=====

(3)
A plane-wave DFT calculation with PBE-GGA was carried out for crystalline InHg2HAu at its relaxed geometry.

It has space group P4/mmm (No. 123), with a = 5.6375 Å, b = 5.6375 Å, c = 3.5153 Å, α = 90.00°, β = 90.00° and γ = 90.00°. The asymmetric unit holds In at (0.0000, 0.0000, 0.0000), Hg at (0.0000, 0.5000, 0.5000), H at (0.5000, 0.5000, 0.0000) and Au at (0.5000, 0.5000, 0.5000).

Its energy above the most stable polymorph in this dataset is 0 meV/atom. The magnetic moment comes out at 0.0 μB per cell. For the density of states at the Fermi level, the calculation gives 1.2 states/eV/f.u. Its density is 10.61 Mg/m³.

=====

(4)
A plane-wave DFT calculation with PBE-GGA was carried out for crystalline Pr4Pb3Br at its relaxed geometry.

It has space group Fmmm (No. 69), with a = 9.1011 Å, b = 9.1293 Å, c = 12.8911 Å, α = 90.00°, β = 90.00° and γ = 90.00°. The asymmetric unit holds Pr at (0.0000, 0.0000, 0.2492), Pr at (0.2500, 0.2500, 0.0000), Pb at (0.0000, 0.0000, 0.5000), Pb at (0.2500, 0.2500, 0.2500) and Br at (0.0000, 0.0000, 0.0000).

The calculation puts the uncorrected formation energy at -0.736 eV per atom. The magnetic moment comes out at 0.0 μB per cell. For the density of states at the Fermi level, the calculation gives 4.5 states/eV/f.u. Its density is 7.85 Mg/m³.

=====

(5)
A plane-wave DFT calculation with PBE-GGA was carried out for crystalline Be2NbIr2 at its relaxed geometry.

It has space group P4/mbm (No. 127), with a = 6.8510 Å, b = 6.8510 Å, c = 2.8091 Å, α = 90.00°, β = 90.00° and γ = 90.00°. The asymmetric unit holds Be at (0.1518, 0.3482, 0.0000), Nb at (0.0000, 0.0000, 0.5000) and Ir at (0.1437, 0.6437, 0.5000).

The value obtained for the energy of formation from the pure elements is -1.56 eV/f.u. Its energy above the most stable polymorph in this dataset is 205 meV/atom. The magnetic moment comes out at 0.0 μB per cell. For the density of states at the Fermi level, the calculation gives 3.4 states/eV/f.u. Its density is 12.48 Mg/m³.

=====

(6)
A plane-wave DFT calculation with PBE-GGA was carried out for crystalline TbNdSbS at its relaxed geometry.

It has space group R3m (No. 160, hexagonal axes), with a = 4.1309 Å, b = 4.1309 Å, c = 22.3766 Å, α = 90.00°, β = 90.00° and γ = 120.00°. The asymmetric unit holds Tb at (0.0000, 0.0000, 0.0000), Nd at (0.0000, 0.0000, 0.8384), Sb at (0.0000, 0.0000, 0.4159) and S at (0.0000, 0.0000, 0.5912).

The calculation puts the uncorrected formation energy at -1.419 eV per atom. The magnetic moment comes out at 1.4 μB per cell. For the density of states at the Fermi level, the calculation gives 2.3 states/eV/f.u. Its density is 6.88 Mg/m³.

=====

(7)
A plane-wave DFT calculation with PBE-GGA was carried out for crystalline Ca2Tc2Ge2N at its relaxed geometry.

It has space group C2/m (No. 12), with a = 11.0607 Å, b = 3.9189 Å, c = 7.2746 Å, α = 90.00°, β = 126.23° and γ = 90.00°. The asymmetric unit holds Ca at (0.0693, 0.0000, 0.2915), Tc at (0.1962, 0.5000, 0.0720), Ge at (0.1449, 0.5000, 0.6825) and N at (0.0000, 0.5000, 0.0000).

The calculation puts the uncorrected formation energy at -0.580 eV per atom. The magnetic moment comes out at 0.0 μB per cell. For the density of states at the Fermi level, the calculation gives 2.8 states/eV/f.u. Its density is 5.69 Mg/m³.

=====

(8)
A plane-wave DFT calculation with PBE-GGA was carried out for crystalline La4CePr6 at its relaxed geometry.

It has space group I-42m (No. 121), with a = 6.9875 Å, b = 6.9875 Å, c = 16.8289 Å, α = 90.00°, β = 90.00° and γ = 90.00°. The asymmetric unit holds La at (0.1899, 0.1899, 0.1712), Ce at (0.0000, 0.0000, 0.0000), Pr at (0.0000, 0.5000, 0.0000) and Pr at (0.1767, 0.1767, 0.3807).

The value obtained for the energy of formation from the pure elements is 3.05 eV/f.u. The magnetic moment comes out at 1.6 μB per cell. For the density of states at the Fermi level, the calculation gives 20.2 states/eV/f.u. Its density is 6.23 Mg/m³.

=====

Number 1: total DFT energy (no corrections) -4.267 eV per atom. Number 2: total DFT energy (no corrections) -3.423 eV per atom. Number 3: total DFT energy (no corrections) -1.896 eV per atom. Number 4: total DFT energy (no corrections) -4.726 eV per atom. Number 5: total DFT energy (no corrections) -7.361 eV per atom. Number 6: total DFT energy (no corrections) -5.831 eV per atom. Number 7: total DFT energy (no corrections) -6.622 eV per atom. Number 8: total DFT energy (no corrections) -4.661 eV per atom.